## Ba5Na2Pt2 (PBE)

Data for crystalline Ba5Na2Pt2 at its relaxed geometry.

The total energy comes out at -2.98 eV/atom. The volume comes out at 1871.9 Å³ per cell.

The space group is Ima2 (No. 46) and the conventional cell measures 24.215, 8.990 and 8.599 Å, with angles of 90.00, 90.00 and 90.00 degrees. The distinct sites, in fractional coordinates, are Ba at (0.008, 0.249, 0.000), Ba at (0.137, 0.530, 0.752), Ba at (0.250, 0.105, 0.811), Na at (0.101, 0.519, 0.247), Pt at (0.000, 0.000, 0.252) and Pt at (0.250, 0.093, 0.163).